Density functional theory data (GGA-PBE) for crystalline Zn3Hg12Pb5 at its relaxed geometry.

Calculated values
Density of states at the Fermi level: 68.5 states/eV per cell
Density: 9.672 g cm⁻³
DFT formation energy: 196 meV per atom

Lattice parameters (Å, degrees): 17.0981 17.0981 17.0981 90.00 90.00 90.00
With the nearest neighbours (Å) after each atom.
Space group Ia-3d (No. 230)
One atom of each set of equivalent atoms:
1 Zn 0.0000 0.2500 0.1250 [24 per cell]  4 Hg 2.73
2 Hg 0.0180 0.0934 0.6517 [96 per cell]  1 Zn 2.73, 1 Pb 2.95, 1 Hg 3.01
3 Pb 0.0000 0.0000 0.0000 [16 per cell]  6 Hg 3.06
4 Pb 0.0000 0.2500 0.3750 [24 per cell]  4 Hg 2.95